Entry 1:
## PC2S2 (PBE)

Data for crystalline PC2S2 at its relaxed geometry.

SG	I4/mmm (139)
D(E_F)	2.4	states/eV/cell
theoretical density	3.40	g cm⁻³
ΔE_f (raw)	8.60	eV/f.u.

Cell and atoms, written as CIF:
```
data_PC2S2
_chemical_formula_sum 'P2 C4 S4'
_symmetry_space_group_name_H-M 'P 1'
_symmetry_Int_Tables_number 1
_symmetry_space_group_name_Hall 'P 1'
_cell_length_a 4.357
_cell_length_b 4.357
_cell_length_c 6.121
_cell_angle_alpha 90.00
_cell_angle_beta 90.00
_cell_angle_gamma 90.00
loop_
_atom_site_label
_atom_site_type_symbol
_atom_site_fract_x
_atom_site_fract_y
_atom_site_fract_z
P1 P 0.000 0.000 0.000
P2 P 0.500 0.500 0.500
C1 C 0.000 0.000 0.388
C2 C 0.000 0.000 0.612
C3 C 0.500 0.500 0.112
C4 C 0.500 0.500 0.888
S1 S 0.000 0.500 0.250
S2 S 0.000 0.500 0.750
S3 S 0.500 0.000 0.250
S4 S 0.500 0.000 0.750
```

Entry 2:
## TaMoOs (PBE)

Data for crystalline TaMoOs at its relaxed geometry.

SG	Cm (8)
D(E_F)	9.5	states/eV/cell
energy relative to the elements	-0.081	eV/atom
theoretical density	16.07	g cm⁻³

Cell and atoms, written as CIF:
```
data_TaMoOs
_chemical_formula_sum 'Ta4 Mo4 Os4'
_symmetry_space_group_name_H-M 'P 1'
_symmetry_Int_Tables_number 1
_symmetry_space_group_name_Hall 'P 1'
_cell_length_a 9.572
_cell_length_b 4.479
_cell_length_c 5.488
_cell_angle_alpha 90.00
_cell_angle_beta 124.87
_cell_angle_gamma 90.00
loop_
_atom_site_label
_atom_site_type_symbol
_atom_site_fract_x
_atom_site_fract_y
_atom_site_fract_z
Ta1 Ta 0.000 0.000 0.000
Ta2 Ta 0.163 0.500 0.508
Ta3 Ta 0.500 0.500 0.000
Ta4 Ta 0.663 0.000 0.508
Mo1 Mo 0.170 0.500 0.013
Mo2 Mo 0.338 0.000 0.025
Mo3 Mo 0.670 0.000 0.013
Mo4 Mo 0.838 0.500 0.025
Os1 Os 0.006 0.000 0.510
Os2 Os 0.319 0.000 0.504
Os3 Os 0.506 0.500 0.510
Os4 Os 0.819 0.500 0.504
```

Entry 3:
## Tb2NdHg4 (PBE)

Data for crystalline Tb2NdHg4 at its relaxed geometry.

SG	R-3m (166)
D(E_F)	6.0	states/eV/cell
energy relative to the elements	-0.329	eV/atom
theoretical density	10.40	g cm⁻³

Cell and atoms, written as CIF:
```
data_Tb2NdHg4
_chemical_formula_sum 'Tb2 Nd1 Hg4'
_symmetry_space_group_name_H-M 'P 1'
_symmetry_Int_Tables_number 1
_symmetry_space_group_name_Hall 'P 1'
_cell_length_a 9.337
_cell_length_b 9.337
_cell_length_c 9.337
_cell_angle_alpha 31.90
_cell_angle_beta 31.90
_cell_angle_gamma 31.90
loop_
_atom_site_label
_atom_site_type_symbol
_atom_site_fract_x
_atom_site_fract_y
_atom_site_fract_z
Tb1 Tb 0.242 0.242 0.242
Tb2 Tb 0.758 0.758 0.758
Nd1 Nd 0.000 0.000 0.000
Hg1 Hg 0.127 0.127 0.127
Hg2 Hg 0.382 0.382 0.382
Hg3 Hg 0.618 0.618 0.618
Hg4 Hg 0.873 0.873 0.873
```

Entry 4:
## CdTe2Se (PBE)

Data for crystalline CdTe2Se at its relaxed geometry.

SG	Immm (71)
D(E_F)	5.0	states/eV/cell
theoretical density	5.87	g cm⁻³
ΔE_f (raw)	0.48	eV/f.u.

Cell and atoms, written as CIF:
```
data_CdTe2Se
_chemical_formula_sum 'Cd2 Te4 Se2'
_symmetry_space_group_name_H-M 'P 1'
_symmetry_Int_Tables_number 1
_symmetry_space_group_name_Hall 'P 1'
_cell_length_a 4.141
_cell_length_b 7.532
_cell_length_c 8.097
_cell_angle_alpha 90.00
_cell_angle_beta 90.00
_cell_angle_gamma 90.00
loop_
_atom_site_label
_atom_site_type_symbol
_atom_site_fract_x
_atom_site_fract_y
_atom_site_fract_z
Cd1 Cd 0.000 0.000 0.000
Cd2 Cd 0.500 0.500 0.500
Te1 Te 0.000 0.500 0.239
Te2 Te 0.000 0.500 0.761
Te3 Te 0.500 0.000 0.261
Te4 Te 0.500 0.000 0.739
Se1 Se 0.000 0.000 0.500
Se2 Se 0.500 0.500 0.000
```

Entry 5:
## ErIn2Ir (PBE)

Data for crystalline ErIn2Ir at its relaxed geometry.

SG	R-3m (166)
D(E_F)	8.9	states/eV/cell
energy relative to the elements	0.237	eV/atom
theoretical density	10.18	g cm⁻³

Cell and atoms, written as CIF:
```
data_ErIn2Ir
_chemical_formula_sum 'Er3 In6 Ir3'
_symmetry_space_group_name_H-M 'P 1'
_symmetry_Int_Tables_number 1
_symmetry_space_group_name_Hall 'P 1'
_cell_length_a 3.261
_cell_length_b 3.261
_cell_length_c 31.302
_cell_angle_alpha 90.00
_cell_angle_beta 90.00
_cell_angle_gamma 120.00
loop_
_atom_site_label
_atom_site_type_symbol
_atom_site_fract_x
_atom_site_fract_y
_atom_site_fract_z
Er1 Er 0.000 0.000 0.000
Er2 Er 0.333 0.667 0.667
Er3 Er 0.667 0.333 0.333
In1 In 0.000 0.000 0.101
In2 In 0.000 0.000 0.899
In3 In 0.333 0.667 0.566
In4 In 0.333 0.667 0.768
In5 In 0.667 0.333 0.232
In6 In 0.667 0.333 0.434
Ir1 Ir 0.000 0.000 0.500
Ir2 Ir 0.333 0.667 0.167
Ir3 Ir 0.667 0.333 0.833
```

Entry 6:
## DyPuZn2 (PBE)

Data for crystalline DyPuZn2 at its relaxed geometry.

SG	P4/mmm (123)
D(E_F)	6.8	states/eV/cell
energy relative to the elements	-0.189	eV/atom
theoretical density	9.81	g cm⁻³

Cell and atoms, written as CIF:
```
data_DyPuZn2
_chemical_formula_sum 'Dy1 Pu1 Zn2'
_symmetry_space_group_name_H-M 'P 1'
_symmetry_Int_Tables_number 1
_symmetry_space_group_name_Hall 'P 1'
_cell_length_a 5.057
_cell_length_b 5.057
_cell_length_c 3.555
_cell_angle_alpha 90.00
_cell_angle_beta 90.00
_cell_angle_gamma 90.00
loop_
_atom_site_label
_atom_site_type_symbol
_atom_site_fract_x
_atom_site_fract_y
_atom_site_fract_z
Dy1 Dy 0.000 0.000 0.000
Pu1 Pu 0.500 0.500 0.000
Zn1 Zn 0.000 0.500 0.500
Zn2 Zn 0.500 0.000 0.500
```

Entry 7:
## RbSrCd2Ni (PBE)

Data for crystalline RbSrCd2Ni at its relaxed geometry.

SG	P4/mmm (123)
D(E_F)	2.5	states/eV/cell
energy relative to the elements	0.003	eV/atom
theoretical density	4.89	g cm⁻³

Cell and atoms, written as CIF:
```
data_RbSrCd2Ni
_chemical_formula_sum 'Rb1 Sr1 Cd2 Ni1'
_symmetry_space_group_name_H-M 'P 1'
_symmetry_Int_Tables_number 1
_symmetry_space_group_name_Hall 'P 1'
_cell_length_a 5.338
_cell_length_b 5.338
_cell_length_c 5.445
_cell_angle_alpha 90.00
_cell_angle_beta 90.00
_cell_angle_gamma 90.00
loop_
_atom_site_label
_atom_site_type_symbol
_atom_site_fract_x
_atom_site_fract_y
_atom_site_fract_z
Rb1 Rb 0.000 0.000 0.000
Sr1 Sr 0.500 0.500 0.000
Cd1 Cd 0.000 0.500 0.500
Cd2 Cd 0.500 0.000 0.500
Ni1 Ni 0.500 0.500 0.500
```

Entry 8:
## SrTlFeTe2 (PBE)

Data for crystalline SrTlFeTe2 at its relaxed geometry.

SG	P4/mmm (123)
D(E_F)	4.8	states/eV/cell
theoretical density	6.62	g cm⁻³
ΔE_f (raw)	-1.61	eV/f.u.

Cell and atoms, written as CIF:
```
data_SrTlFeTe2
_chemical_formula_sum 'Sr1 Tl1 Fe1 Te2'
_symmetry_space_group_name_H-M 'P 1'
_symmetry_Int_Tables_number 1
_symmetry_space_group_name_Hall 'P 1'
_cell_length_a 5.497
_cell_length_b 5.497
_cell_length_c 5.005
_cell_angle_alpha 90.00
_cell_angle_beta 90.00
_cell_angle_gamma 90.00
loop_
_atom_site_label
_atom_site_type_symbol
_atom_site_fract_x
_atom_site_fract_y
_atom_site_fract_z
Sr1 Sr 0.000 0.000 0.000
Tl1 Tl 0.500 0.500 0.000
Fe1 Fe 0.500 0.500 0.500
Te1 Te 0.000 0.500 0.500
Te2 Te 0.500 0.000 0.500
```

Entry 9:
## Cs2PaTl3Te6 (PBE)

Data for crystalline Cs2PaTl3Te6 at its relaxed geometry.

SG	C2/m (12)
D(E_F)	8.8	states/eV/cell
theoretical density	5.64	g cm⁻³
ΔE_f (raw)	-7.44	eV/f.u.

Cell and atoms, written as CIF:
```
data_Cs2PaTl3Te6
_chemical_formula_sum 'Cs2 Pa1 Tl3 Te6'
_symmetry_space_group_name_H-M 'P 1'
_symmetry_Int_Tables_number 1
_symmetry_space_group_name_Hall 'P 1'
_cell_length_a 9.613
_cell_length_b 9.613
_cell_length_c 7.696
_cell_angle_alpha 98.90
_cell_angle_beta 98.90
_cell_angle_gamma 124.52
loop_
_atom_site_label
_atom_site_type_symbol
_atom_site_fract_x
_atom_site_fract_y
_atom_site_fract_z
Cs1 Cs 0.184 0.816 0.000
Cs2 Cs 0.816 0.184 0.000
Pa1 Pa 0.500 0.500 0.000
Tl1 Tl 0.000 0.000 0.500
Tl2 Tl 0.386 0.614 0.500
Tl3 Tl 0.614 0.386 0.500
Te1 Te 0.170 0.422 0.756
Te2 Te 0.267 0.267 0.209
Te3 Te 0.422 0.170 0.756
Te4 Te 0.578 0.830 0.244
Te5 Te 0.733 0.733 0.791
Te6 Te 0.830 0.578 0.244
```

Entry 10:
## Ni2HgPd2 (PBE)

Data for crystalline Ni2HgPd2 at its relaxed geometry.

SG	I4/mmm (139)
D(E_F)	12.2	states/eV/cell
energy relative to the elements	0.288	eV/atom
theoretical density	10.97	g cm⁻³

Cell and atoms, written as CIF:
```
data_Ni2HgPd2
_chemical_formula_sum 'Ni4 Hg2 Pd4'
_symmetry_space_group_name_H-M 'P 1'
_symmetry_Int_Tables_number 1
_symmetry_space_group_name_Hall 'P 1'
_cell_length_a 3.765
_cell_length_b 3.765
_cell_length_c 11.341
_cell_angle_alpha 90.00
_cell_angle_beta 90.00
_cell_angle_gamma 90.00
loop_
_atom_site_label
_atom_site_type_symbol
_atom_site_fract_x
_atom_site_fract_y
_atom_site_fract_z
Ni1 Ni 0.000 0.000 0.099
Ni2 Ni 0.000 0.000 0.901
Ni3 Ni 0.500 0.500 0.401
Ni4 Ni 0.500 0.500 0.599
Hg1 Hg 0.000 0.000 0.500
Hg2 Hg 0.500 0.500 0.000
Pd1 Pd 0.000 0.500 0.250
Pd2 Pd 0.000 0.500 0.750
Pd3 Pd 0.500 0.000 0.250
Pd4 Pd 0.500 0.000 0.750
```

Entry 11:
## NbCuPdRh (PBE)

Data for crystalline NbCuPdRh at its relaxed geometry.

SG	I-4m2 (119)
D(E_F)	3.9	states/eV/cell
energy relative to the elements	-0.351	eV/atom
theoretical density	10.25	g cm⁻³

Cell and atoms, written as CIF:
```
data_NbCuPdRh
_chemical_formula_sum 'Nb2 Cu2 Pd2 Rh2'
_symmetry_space_group_name_H-M 'P 1'
_symmetry_Int_Tables_number 1
_symmetry_space_group_name_Hall 'P 1'
_cell_length_a 3.958
_cell_length_b 3.958
_cell_length_c 7.563
_cell_angle_alpha 90.00
_cell_angle_beta 90.00
_cell_angle_gamma 90.00
loop_
_atom_site_label
_atom_site_type_symbol
_atom_site_fract_x
_atom_site_fract_y
_atom_site_fract_z
Nb1 Nb 0.000 0.000 0.000
Nb2 Nb 0.500 0.500 0.500
Cu1 Cu 0.000 0.000 0.500
Cu2 Cu 0.500 0.500 0.000
Pd1 Pd 0.000 0.500 0.750
Pd2 Pd 0.500 0.000 0.250
Rh1 Rh 0.000 0.500 0.250
Rh2 Rh 0.500 0.000 0.750
```

Entry 12:
## Mn2FeOs (PBE)

Data for crystalline Mn2FeOs at its relaxed geometry.

SG	Imm2 (44)
D(E_F)	8.6	states/eV/cell
energy relative to the elements	0.130	eV/atom
theoretical density	11.97	g cm⁻³

Cell and atoms, written as CIF:
```
data_Mn2FeOs
_chemical_formula_sum 'Mn4 Fe2 Os2'
_symmetry_space_group_name_H-M 'P 1'
_symmetry_Int_Tables_number 1
_symmetry_space_group_name_Hall 'P 1'
_cell_length_a 2.920
_cell_length_b 4.103
_cell_length_c 8.239
_cell_angle_alpha 90.00
_cell_angle_beta 90.00
_cell_angle_gamma 90.00
loop_
_atom_site_label
_atom_site_type_symbol
_atom_site_fract_x
_atom_site_fract_y
_atom_site_fract_z
Mn1 Mn 0.000 0.000 0.000
Mn2 Mn 0.000 0.500 0.251
Mn3 Mn 0.500 0.000 0.751
Mn4 Mn 0.500 0.500 0.500
Fe1 Fe 0.000 0.000 0.508
Fe2 Fe 0.500 0.500 0.008
Os1 Os 0.000 0.500 0.754
Os2 Os 0.500 0.000 0.254
```

> Among the records above, which one has the highest theoretical density?

TaMoOs

> The highest D(E_F) belongs to which entry?

Ni2HgPd2

> The lowest theoretical density belongs to which entry?

PC2S2

> Which formula does entry 12 have?

Mn2FeOs